Density functional theory data (PBE) for a geometry-optimized FeSi2H2 structure.

For the distance to the lowest polymorph of the same formula, the calculation gives 0.000 eV/atom.

It has space group I4/mmm (No. 139), with a = 2.7094 Å, b = 2.7094 Å, c = 11.4438 Å, α = 90.00°, β = 90.00° and γ = 90.00°. Symmetry generates all atoms from Fe at (0.0000, 0.0000, 0.0000), Si at (0.0000, 0.0000, 0.3760) and H at (0.0000, 0.5000, 0.2500).

=====

Density functional theory data (PBE) for a geometry-optimized Sr2TbSnSe5 structure.

The value obtained for the formation energy (no corrections) is -13.5 eV per formula unit.

It has space group Cmc2_1 (No. 36), with a = 4.3060 Å, b = 18.2028 Å, c = 13.1984 Å, α = 90.00°, β = 90.00° and γ = 90.00°. Symmetry generates all atoms from Sr at (0.0000, 0.1113, 0.0000), Sr at (0.0000, 0.1375, 0.6293), Tb at (0.0000, 0.2131, 0.3394), Sn at (0.0000, 0.4631, 0.7704), Se at (0.0000, 0.0537, 0.3935), Se at (0.0000, 0.2822, 0.9853), Se at (0.0000, 0.3169, 0.6921), Se at (0.0000, 0.3671, 0.3180) and Se at (0.0000, 0.4906, 0.0791).